[1]
Compound: LaTa2Hg
Source: the Alexandria database
Functional: PBE-GGA
Structure: optimized geometry

a b c (Å): 2.9701 2.9701 9.8710
angles (deg): 90.00 90.00 90.03
Fractional coordinates of all 4 atoms:
Ta: 0.0000 0.0000 0.0239
Ta: 0.0000 0.0000 0.4761
La: 0.5000 0.5000 0.7500
Hg: 0.5000 0.5000 0.2500

Summary:
Its crystal system is tetragonal.

***

[2]
Compound: LaTa2Hg
Source: the Alexandria database
Functional: PBE-GGA
Structure: optimized geometry

a b c (Å): 3.0533 3.0533 10.2334
angles (deg): 90.00 90.00 110.77
Fractional coordinates of all 4 atoms:
Ta: 0.0000 0.0000 0.0319
Ta: 0.5000 0.5000 0.2367
La: 0.5000 0.5000 0.7569
Hg: 0.0000 0.0000 0.4745

Summary:
Its crystal system is orthorhombic.

***

[3]
Compound: LaTaHg2
Source: the Alexandria database
Functional: PBE-GGA
Structure: optimized geometry

a b c (Å): 4.2007 3.1318 7.8179
angles (deg): 66.44 90.00 90.00
Site moments in Bohr magnetons follow the coordinates.
Fractional coordinates of all 4 atoms:
Hg: 0.0000 0.4590 0.5409  0.00
La: 0.5000 0.2500 0.2500  0.10
Ta: 0.5000 0.7500 0.7500  0.00
Hg: 0.0000 0.0410 0.9591  0.00

Summary:
The value obtained for the energy above the most stable polymorph in this dataset is 10 kJ/mol of formula units. Its crystal system is orthorhombic.

***

[4]
Compound: LaTa2Hg
Source: the Alexandria database
Functional: PBE-GGA
Structure: optimized geometry

a b c (Å): 3.1622 5.3464 5.2647
angles (deg): 90.00 90.00 90.00
Fractional coordinates of all 4 atoms:
Ta: 0.0000 0.0000 0.0000
Ta: 0.5000 0.5000 0.0000
Hg: 0.5000 0.0000 0.5000
La: 0.0000 0.5000 0.5000

Summary:
Its crystal system is orthorhombic.

***

| no. | energy of formation (meV per atom) |
| --- | --- |
| 1 | 525 |
| 2 | 249 |
| 3 | 138 |
| 4 | 480 |